Record 1
First-principles (PBE) data for an optimized crystal structure of AlIn4Ni, as listed in Alexandria.

crystal system: cubic
theoretical density: 6.10 g/cm3
density of states at the Fermi level: 19.40 states/eV/cell
DFT total energy: -2.823 eV per atom
calculated formation energy: 57 kJ per mole of atoms

abc: 8.4043 8.4043 8.4043
angles: 90.00 90.00 90.00
Space group F-43m (No. 216)
Asymmetric unit:
Al (0.0000, 0.0000, 0.0000) [4 per cell]
In (0.1247, 0.1247, 0.6247) [16 per cell]
Ni (0.2500, 0.2500, 0.2500) [4 per cell]

=====

Record 2
First-principles (PBE) data for an optimized crystal structure of AlInNi2, as listed in Alexandria.

crystal system: tetragonal
theoretical density: 7.70 g/cm3
density of states at the Fermi level: 1.85 states/eV/cell
DFT total energy: -4.798 eV per atom
calculated formation energy: -28 kJ per mole of atoms

abc: 4.2624 4.2624 3.0784
angles: 90.00 90.00 90.00
Space group P4/mmm (No. 123)
Asymmetric unit:
Al (0.0000, 0.0000, 0.0000) [1 per cell]
In (0.5000, 0.5000, 0.0000) [1 per cell]
Ni (0.0000, 0.5000, 0.5000) [2 per cell]

=====

Record 3
First-principles (PBE) data for an optimized crystal structure of AlIn2Ni2, as listed in Alexandria.

crystal system: tetragonal
theoretical density: 7.57 g/cm3
density of states at the Fermi level: 3.85 states/eV/cell
DFT total energy: -4.292 eV per atom
calculated formation energy: -13 kJ per mole of atoms

abc: 6.4885 6.4885 3.8951
angles: 90.00 90.00 90.00
Space group P4/mbm (No. 127)
Asymmetric unit:
Al (0.0000, 0.0000, 0.0000) [2 per cell]
In (0.1628, 0.3372, 0.5000) [4 per cell]
Ni (0.1435, 0.6435, 0.0000) [4 per cell]

=====

Record 4
First-principles (PBE) data for an optimized crystal structure of Al2InNi, as listed in Alexandria.

crystal system: monoclinic
theoretical density: 5.43 g/cm3
density of states at the Fermi level: 1.00 states/eV/cell
DFT total energy: -4.012 eV per atom
calculated formation energy: -1 kJ per mole of atoms

abc: 3.3853 4.1340 5.2437
angles: 90.00 108.44 90.00
Space group P2/m (No. 10)
Asymmetric unit:
Al (0.1568, 0.0000, 0.2809) [2 per cell]
In (0.5000, 0.5000, 0.0000) [1 per cell]
Ni (0.5000, 0.5000, 0.5000) [1 per cell]